The following is a DFT calculation (PBE+U) of crystalline K2DyMoO6 at its relaxed geometry.

Structure (POSCAR):
```
K2DyMoO6
1.0
3.085 1.781 10.105
-3.085 1.781 10.105
0.000 -3.562 10.105
K Dy Mo O
4 2 2 12
Direct
0.136 0.136 0.136
0.270 0.270 0.270
0.730 0.730 0.730
0.864 0.864 0.864
0.401 0.401 0.401
0.599 0.599 0.599
0.000 0.000 0.000
0.500 0.500 0.500
0.173 0.604 0.604
0.186 0.186 0.739
0.186 0.739 0.186
0.261 0.814 0.814
0.396 0.396 0.827
0.396 0.827 0.396
0.604 0.173 0.604
0.604 0.604 0.173
0.739 0.186 0.186
0.814 0.261 0.814
0.814 0.814 0.261
0.827 0.396 0.396
```

Properties
As for the spin magnetization: 2.1 μB/cell. Its crystal system is trigonal. For the total DFT energy (no corrections), the calculation gives -6.3623 eV per atom. As for the symmetry: R-3m, No. 166. The volume comes out at 16.7 Å³/atom.